Compound: CsAl2In2
Source: Alexandria via LeMat-Bulk
Functional: GGA-PBE
Structure: relaxed

Cell: 9.2729 9.2729 3.2511 Å, 90.00 90.00 90.00°
Positions (direct):
Al: 0.1344 0.3656 0.0000
Al: 0.3656 0.8656 0.0000
Al: 0.6344 0.1344 0.0000
Al: 0.8656 0.6344 0.0000
In: 0.3505 0.1495 0.5000
In: 0.1495 0.6495 0.5000
In: 0.8505 0.3505 0.5000
In: 0.6495 0.8505 0.5000
Cs: 0.0000 0.0000 0.0000
Cs: 0.5000 0.5000 0.0000

Summary:
The value obtained for the total moment is 0.00 μB/cell. Its calculated volume is 27.96 A^3/atom. Its space-group type is No. 127. The value obtained for the electronic total energy is -2.571 eV/atom. The formation energy comes out at 0.192 eV per atom. The density of states at the Fermi level is 0.4729 states/eV/atom.